Run 1
DFT (PBE) results for a relaxed structure of BeTl2As.

```
BeTl2As
1.0
-2.320 -4.127 -2.430
-2.823 -2.127 3.978
-0.047 5.079 -1.589
Be Tl As
1 2 1
direct
0.750 0.250 0.500
0.000 0.000 0.000
0.250 0.750 0.500
0.500 0.500 0.000
```

Summary:
Magnetic moment in Bohr magnetons per cell: 0.00
Symmetry: I-4m2

***

Run 2
DFT (PBE) results for a relaxed structure of BeTl2As.

```
BeTl2As
1.0
6.465 0.000 0.000
0.000 6.465 0.000
3.232 3.232 5.322
Be Tl As
2 4 2
direct
0.500 0.500 0.000
0.250 0.750 0.500
0.595 0.125 0.250
0.155 0.625 0.250
0.375 0.405 0.750
0.875 0.845 0.750
0.000 0.000 0.000
0.750 0.250 0.500
```

Summary:
Magnetic moment in Bohr magnetons per cell: 0.00
Symmetry: I-42d

***

Here is how they stack up, most stable first: run 2, run 1.

***

Run 1
DFT (PBE) results for a relaxed structure of BeTl2As.

```
BeTl2As
1.0
7.271 0.182 -0.039
4.871 5.401 0.039
-5.889 -3.189 2.839
Be Tl As
1 2 1
direct
0.667 0.167 0.500
0.977 0.977 0.000
0.264 0.764 0.500
0.592 0.592 0.000
```

Summary:
Magnetic moment in Bohr magnetons per cell: 0.00
Symmetry: Imm2

***

Run 2
DFT (PBE) results for a relaxed structure of BeTl2As.

```
BeTl2As
1.0
6.551 -0.134 -0.083
5.315 3.832 -0.083
5.315 1.656 3.456
Be Tl As
1 2 1
direct
0.250 0.250 0.250
0.991 0.991 0.991
0.509 0.509 0.509
0.750 0.750 0.750
```

Summary:
Magnetic moment in Bohr magnetons per cell: 0.00
Symmetry: R-3m

***

Run 3
DFT (PBE) results for a relaxed structure of BeTl2As.

```
BeTl2As
1.0
-2.434 -0.471 -2.876
0.734 -2.566 -2.702
-4.633 -6.848 1.917
Be Tl As
1 2 1
direct
0.533 0.533 0.374
0.983 0.983 0.059
0.784 0.784 0.696
0.200 0.200 0.371
```

Summary:
Magnetic moment in Bohr magnetons per cell: 0.00
Symmetry: Cm

***

Here is how they stack up, most stable first: run 3, run 1, run 2.

***

Run 1
DFT (PBE) results for a relaxed structure of BeTlAs.

```
BeTlAs
1.0
-1.439 3.214 2.685
-4.003 1.787 -0.631
-3.267 -0.815 2.876
Be Tl As
1 1 1
direct
0.750 0.750 0.750
0.000 0.000 0.000
0.500 0.500 0.500
```

Summary:
Magnetic moment in Bohr magnetons per cell: 0.00
Symmetry: F-43m

***

Run 2
DFT (PBE) results for a relaxed structure of BeTlAs.

```
BeTlAs
1.0
-3.556 4.854 3.326
-4.094 1.954 4.826
2.106 1.746 1.862
Be Tl As
1 1 1
direct
0.371 0.371 0.629
0.683 0.683 0.317
0.946 0.946 0.054
```

Summary:
Magnetic moment in Bohr magnetons per cell: 0.00
Symmetry: Fmm2

***

Here is how they stack up, most stable first: run 2, run 1.